DFT (PBE) results for a relaxed AcMgSi crystal.

Output
calculated volume: 27.38 A^3/atom
calculated total energy: -12.3 eV/cell
energy above the most stable polymorph in this dataset: 27 meV/atom
magnetic moment: 0.71 Bohr magnetons per cell

Geometry as CIF:
```
data_AcMgSi
_chemical_formula_sum 'Ac1 Mg1 Si1'
_symmetry_space_group_name_H-M 'P -6 m 2'
_symmetry_Int_Tables_number 187
_symmetry_space_group_name_Hall 'P -6 2'
_cell_length_a 4.5516
_cell_length_b 4.5516
_cell_length_c 4.5785
_cell_angle_alpha 90.00
_cell_angle_beta 90.00
_cell_angle_gamma 120.00
loop_
_atom_site_label
_atom_site_fract_x
_atom_site_fract_y
_atom_site_fract_z
Ac1 0.0000 0.0000 0.0000
Mg1 0.6667 0.3333 0.5000
Si1 0.3333 0.6667 0.5000
```



DFT (PBE) results for a relaxed Ac4MgSi3 crystal.

Output
calculated volume: 30.45 A^3/atom
calculated total energy: -37.7 eV/cell
magnetic moment: 0.46 Bohr magnetons per cell

Geometry as CIF:
```
data_Ac4MgSi3
_chemical_formula_sum 'Ac4 Mg1 Si3'
_symmetry_space_group_name_H-M 'P m m 2'
_symmetry_Int_Tables_number 25
_symmetry_space_group_name_Hall 'P 2 -2'
_cell_length_a 4.2681
_cell_length_b 4.7439
_cell_length_c 12.0309
_cell_angle_alpha 90.00
_cell_angle_beta 90.00
_cell_angle_gamma 90.00
loop_
_atom_site_label
_atom_site_fract_x
_atom_site_fract_y
_atom_site_fract_z
Ac1 0.0000 0.0000 0.0000
Ac2 0.0000 0.5000 0.4811
Ac3 0.5000 0.0000 0.6976
Ac4 0.5000 0.5000 0.2098
Mg1 0.0000 0.5000 0.7923
Si1 0.0000 0.0000 0.2834
Si2 0.5000 0.0000 0.4073
Si3 0.5000 0.5000 0.9301
```



DFT (PBE) results for a relaxed AcMgSi crystal.

Output
calculated volume: 26.32 A^3/atom
calculated total energy: -24.8 eV/cell
energy above the most stable polymorph in this dataset: 0 meV/atom
magnetic moment: 1.25 Bohr magnetons per cell

Geometry as CIF:
```
data_AcMgSi
_chemical_formula_sum 'Ac2 Mg2 Si2'
_symmetry_space_group_name_H-M 'P 4/n m m'
_symmetry_Int_Tables_number 129
_cell_length_a 4.4723
_cell_length_b 4.4723
_cell_length_c 7.8946
_cell_angle_alpha 90.00
_cell_angle_beta 90.00
_cell_angle_gamma 90.00
loop_
_symmetry_equiv_pos_as_xyz
'x,y,z'
'-x,-y,-z'
'-y+1/2,x,z'
'y+1/2,-x,-z'
'-x+1/2,-y+1/2,z'
'x+1/2,y+1/2,-z'
'y,-x+1/2,z'
'-y,x+1/2,-z'
'x+1/2,-y,-z'
'-x+1/2,y,z'
'-y,-x,-z'
'y,x,z'
'-x,y+1/2,-z'
'x,-y+1/2,z'
'y+1/2,x+1/2,-z'
'-y+1/2,-x+1/2,z'
loop_
_atom_site_label
_atom_site_fract_x
_atom_site_fract_y
_atom_site_fract_z
Ac1 0.2500 0.2500 0.1531
Mg1 0.2500 0.7500 0.5000
Si1 0.2500 0.2500 0.7171
```



> What is the calculated volume in the first record?

27.38 A^3/atom